Density functional theory data (PBE) for SrPm3 after structural relaxation.

Cell and atoms, written as CIF:
```
data_SrPm3
_cell_length_a 5.311
_cell_length_b 5.311
_cell_length_c 5.311
_cell_angle_alpha 90.00
_cell_angle_beta 90.00
_cell_angle_gamma 90.00
_symmetry_space_group_name_H-M 'P m -3 m'
_symmetry_Int_Tables_number 221
_symmetry_space_group_name_Hall '-P 4 2 3'
loop_
_atom_site_label
_atom_site_fract_x
_atom_site_fract_y
_atom_site_fract_z
_atom_site_occupancy
Sr1 0.000 0.000 0.000 1
Pm1 0.000 0.500 0.500 1
```

V: 149.8 Å³/cell
Energy of formation: 160 meV per atom
Uncorrected energy: -3.8235 eV per atom